# 1
Computed, not measured: UMn2Nb after structural relaxation at the GGA-PBE level of DFT.

The value obtained for the total energy is -9.82 eV/atom. Its calculated formation energy is 0.104 eV per atom.

Cell lengths 3.0055, 3.0055, 6.8563 Å; angles 90.00, 90.00, 90.00 degrees
Sites, in units of the cell vectors:
U1 0.0000 0.0000 0.0000
Mn1 0.5000 0.5000 0.2767
Mn2 0.5000 0.5000 0.7233
Nb1 0.0000 0.0000 0.5000


# 2
Computed, not measured: UMnNb2 after structural relaxation at the GGA-PBE level of DFT.

The value obtained for the total energy is -9.87 eV/atom. Its calculated formation energy is 0.282 eV per atom. The energy above the lowest structure with this stoichiometry comes out at 41 meV/atom.

Cell lengths 3.3529, 3.3529, 6.2595 Å; angles 90.00, 90.00, 90.00 degrees
Sites, in units of the cell vectors:
U1 0.0000 0.0000 0.0000
Mn1 0.0000 0.0000 0.5000
Nb1 0.5000 0.5000 0.2595
Nb2 0.5000 0.5000 0.7405


# 3
Computed, not measured: UMnNb2 after structural relaxation at the GGA-PBE level of DFT.

The value obtained for the total energy is -9.87 eV/atom. Its calculated formation energy is 0.276 eV per atom. The energy above the lowest structure with this stoichiometry comes out at 35 meV/atom.

Cell lengths 4.7844, 4.7844, 3.1183 Å; angles 90.00, 90.00, 90.00 degrees
Sites, in units of the cell vectors:
U1 0.0000 0.0000 0.0000
Mn1 0.5000 0.5000 0.0000
Nb1 0.0000 0.5000 0.5000
Nb2 0.5000 0.0000 0.5000


# 4
Computed, not measured: UMnNb2 after structural relaxation at the GGA-PBE level of DFT.

The value obtained for the total energy is -9.91 eV/atom. Its calculated formation energy is 0.241 eV per atom. The energy above the lowest structure with this stoichiometry comes out at 0 meV/atom.

Cell lengths 4.5751, 4.5751, 4.5751 Å; angles 60.00, 60.00, 60.00 degrees
Sites, in units of the cell vectors:
U1 0.0000 0.0000 0.0000
Mn1 0.5000 0.5000 0.5000
Nb1 0.2500 0.2500 0.2500
Nb2 0.7500 0.7500 0.7500


# 5
Computed, not measured: UMnNb after structural relaxation at the GGA-PBE level of DFT.

The value obtained for the total energy is -9.83 eV/atom. Its calculated formation energy is 0.351 eV per atom. The energy above the lowest structure with this stoichiometry comes out at 144 meV/atom.

Cell lengths 5.7672, 5.7672, 6.5123 Å; angles 100.77, 100.77, 29.15 degrees
Sites, in units of the cell vectors:
U1 0.0398 0.0398 0.2709
U2 0.9602 0.9602 0.7291
Mn1 0.3678 0.3678 0.9949
Mn2 0.6322 0.6322 0.0051
Nb1 0.2016 0.2016 0.6703
Nb2 0.7984 0.7984 0.3297


# 6
Computed, not measured: Mn2NbV after structural relaxation at the GGA-PBE level of DFT.

The value obtained for the total energy is -8.71 eV/atom. Its calculated formation energy is 0.670 eV per atom.

Cell lengths 9.5681, 9.5681, 9.5681 Å; angles 158.55, 158.55, 30.51 degrees
Sites, in units of the cell vectors:
Mn1 0.0479 0.6250 0.9229
Mn2 0.3750 0.2979 0.4229
Mn3 0.7021 0.1250 0.0771
Mn4 0.8750 0.9521 0.5771
Nb1 0.2500 0.7500 0.5000
Nb2 0.5000 0.5000 0.0000
V1 0.0000 0.0000 0.0000
V2 0.7500 0.2500 0.5000


# 7
Computed, not measured: Mn4NbV after structural relaxation at the GGA-PBE level of DFT.

The value obtained for the total energy is -9.18 eV/atom. Its calculated formation energy is 0.133 eV per atom. The energy above the lowest structure with this stoichiometry comes out at 233 meV/atom.

Cell lengths 5.8363, 4.0196, 6.5997 Å; angles 90.00, 90.00, 90.00 degrees
Sites, in units of the cell vectors:
Mn1 0.0000 0.0000 0.0000
Mn2 0.0281 0.5000 0.3253
Mn3 0.2500 0.5000 0.9568
Mn4 0.4719 0.5000 0.3253
Mn5 0.5000 0.0000 0.0000
Mn6 0.5281 0.5000 0.6747
Mn7 0.7500 0.5000 0.0432
Mn8 0.9719 0.5000 0.6747
Nb1 0.2500 0.0000 0.6376
Nb2 0.7500 0.0000 0.3624
V1 0.2500 0.0000 0.2520
V2 0.7500 0.0000 0.7480


# 8
Computed, not measured: Mn2NbV after structural relaxation at the GGA-PBE level of DFT.

The value obtained for the total energy is -9.13 eV/atom. Its calculated formation energy is 0.247 eV per atom.

Cell lengths 7.9292, 7.9292, 7.9292 Å; angles 20.72, 20.72, 20.72 degrees
Sites, in units of the cell vectors:
Mn1 0.2443 0.2443 0.2443
Mn2 0.7557 0.7557 0.7557
Nb1 0.0000 0.0000 0.0000
V1 0.5000 0.5000 0.5000


# 9
Computed, not measured: Mn2Nb2V after structural relaxation at the GGA-PBE level of DFT.

The value obtained for the total energy is -9.34 eV/atom. Its calculated formation energy is 0.178 eV per atom. The energy above the lowest structure with this stoichiometry comes out at 118 meV/atom.

Cell lengths 6.6902, 6.6902, 3.3263 Å; angles 90.00, 90.00, 90.00 degrees
Sites, in units of the cell vectors:
Mn1 0.1102 0.3898 0.0000
Mn2 0.3898 0.8898 0.0000
Mn3 0.6102 0.1102 0.0000
Mn4 0.8898 0.6102 0.0000
Nb1 0.1964 0.6964 0.5000
Nb2 0.3036 0.1964 0.5000
Nb3 0.6964 0.8036 0.5000
Nb4 0.8036 0.3036 0.5000
V1 0.0000 0.0000 0.0000
V2 0.5000 0.5000 0.0000


# 10
Computed, not measured: Mn2NbV after structural relaxation at the GGA-PBE level of DFT.

The value obtained for the total energy is -8.75 eV/atom. Its calculated formation energy is 0.634 eV per atom.

Cell lengths 5.3758, 5.3758, 5.3758 Å; angles 150.68, 130.67, 58.43 degrees
Sites, in units of the cell vectors:
Mn1 0.2328 0.2328 0.0000
Mn2 0.7672 0.7672 0.0000
Nb1 0.5000 0.5000 0.0000
V1 0.0000 0.0000 0.0000


# 11
Computed, not measured: MnNbV3 after structural relaxation at the GGA-PBE level of DFT.

The value obtained for the total energy is -7.81 eV/atom. Its calculated formation energy is 1.513 eV per atom. The energy above the lowest structure with this stoichiometry comes out at 1348 meV/atom.

Cell lengths 4.5802, 4.5802, 4.5802 Å; angles 90.00, 90.00, 90.00 degrees
Sites, in units of the cell vectors:
Mn1 0.0000 0.0000 0.0000
Nb1 0.5000 0.5000 0.5000
V1 0.0000 0.5000 0.5000
V2 0.5000 0.0000 0.5000
V3 0.5000 0.5000 0.0000


# 12
Computed, not measured: MnNb2V after structural relaxation at the GGA-PBE level of DFT.

The value obtained for the total energy is -9.67 eV/atom. Its calculated formation energy is -0.059 eV per atom. The energy above the lowest structure with this stoichiometry comes out at 0 meV/atom.

Cell lengths 3.1060, 3.1060, 6.2879 Å; angles 90.00, 90.00, 90.00 degrees
Sites, in units of the cell vectors:
Mn1 0.0000 0.0000 0.0000
Nb1 0.5000 0.5000 0.2432
Nb2 0.5000 0.5000 0.7568
V1 0.0000 0.0000 0.5000


# 13
Computed, not measured: MnNb2V4 after structural relaxation at the GGA-PBE level of DFT.

The value obtained for the total energy is -8.60 eV/atom. Its calculated formation energy is 0.796 eV per atom.

Cell lengths 7.1443, 7.1443, 7.1443 Å; angles 145.43, 145.43, 49.69 degrees
Sites, in units of the cell vectors:
Mn1 0.0000 0.0000 0.0000
Nb1 0.3685 0.3685 0.0000
Nb2 0.6315 0.6315 0.0000
V1 0.0000 0.5000 0.5000
V2 0.1764 0.1764 0.0000
V3 0.5000 0.0000 0.5000
V4 0.8236 0.8236 0.0000


# 14
Computed, not measured: Mn3NbV2 after structural relaxation at the GGA-PBE level of DFT.

The value obtained for the total energy is -9.48 eV/atom. Its calculated formation energy is -0.182 eV per atom.

Cell lengths 2.9410, 2.9410, 8.8534 Å; angles 90.00, 90.00, 90.00 degrees
Sites, in units of the cell vectors:
Mn1 0.0000 0.0000 0.0000
Mn2 0.0000 0.0000 0.3194
Mn3 0.0000 0.0000 0.6806
Nb1 0.5000 0.5000 0.5000
V1 0.5000 0.5000 0.1610
V2 0.5000 0.5000 0.8390


# 15
Computed, not measured: MnNbV after structural relaxation at the GGA-PBE level of DFT.

The value obtained for the total energy is -9.45 eV/atom. Its calculated formation energy is 0.006 eV per atom. The energy above the lowest structure with this stoichiometry comes out at 172 meV/atom.

Cell lengths 4.1965, 4.1965, 2.7828 Å; angles 90.00, 90.00, 120.00 degrees
Sites, in units of the cell vectors:
Mn1 0.0000 0.0000 0.0000
Nb1 0.3333 0.6667 0.3311
V1 0.6667 0.3333 0.6840


# 16
Computed, not measured: MnNb2V after structural relaxation at the GGA-PBE level of DFT.

The value obtained for the total energy is -9.07 eV/atom. Its calculated formation energy is 0.535 eV per atom. The energy above the lowest structure with this stoichiometry comes out at 594 meV/atom.

Cell lengths 5.5966, 5.5966, 5.5966 Å; angles 103.38, 103.38, 122.50 degrees
Sites, in units of the cell vectors:
Mn1 0.0000 0.0000 0.0000
Mn2 0.7500 0.2500 0.5000
Nb1 0.1052 0.6250 0.9802
Nb2 0.3750 0.3552 0.4802
Nb3 0.6448 0.1250 0.0198
Nb4 0.8750 0.8948 0.5198
V1 0.2500 0.7500 0.5000
V2 0.5000 0.5000 0.0000


# 17
Computed, not measured: Mn3Nb2V after structural relaxation at the GGA-PBE level of DFT.

The value obtained for the total energy is -9.59 eV/atom. Its calculated formation energy is -0.131 eV per atom.

Cell lengths 3.0100, 3.0100, 9.0308 Å; angles 90.00, 90.00, 90.00 degrees
Sites, in units of the cell vectors:
Mn1 0.0000 0.0000 0.0000
Mn2 0.0000 0.0000 0.3447
Mn3 0.0000 0.0000 0.6553
Nb1 0.5000 0.5000 0.1719
Nb2 0.5000 0.5000 0.8281
V1 0.5000 0.5000 0.5000


# 18
Computed, not measured: MnNbV2 after structural relaxation at the GGA-PBE level of DFT.

The value obtained for the total energy is -8.95 eV/atom. Its calculated formation energy is 0.416 eV per atom. The energy above the lowest structure with this stoichiometry comes out at 490 meV/atom.

Cell lengths 5.4358, 5.4358, 5.4358 Å; angles 103.13, 103.13, 123.08 degrees
Sites, in units of the cell vectors:
Mn1 0.0000 0.0000 0.0000
Mn2 0.7500 0.2500 0.5000
Nb1 0.2500 0.7500 0.5000
Nb2 0.5000 0.5000 0.0000
V1 0.0866 0.6250 0.9616
V2 0.3750 0.3366 0.4616
V3 0.6634 0.1250 0.0384
V4 0.8750 0.9134 0.5384


# 19
Computed, not measured: Mn8Nb3V after structural relaxation at the GGA-PBE level of DFT.

The value obtained for the total energy is -9.51 eV/atom. Its calculated formation energy is -0.116 eV per atom.

Cell lengths 8.3021, 8.3021, 8.3021 Å; angles 33.49, 33.49, 33.49 degrees
Sites, in units of the cell vectors:
Mn1 0.0000 0.0000 0.0000
Mn2 0.2470 0.7497 0.7497
Mn3 0.2507 0.2507 0.7518
Mn4 0.2507 0.7518 0.2507
Mn5 0.4995 0.4995 0.4995
Mn6 0.7497 0.2470 0.7497
Mn7 0.7497 0.7497 0.2470
Mn8 0.7518 0.2507 0.2507
Nb1 0.1860 0.1860 0.1860
Nb2 0.3122 0.3122 0.3122
Nb3 0.6895 0.6895 0.6895
V1 0.8124 0.8124 0.8124


# 20
Computed, not measured: MnNbV2 after structural relaxation at the GGA-PBE level of DFT.

The value obtained for the total energy is -9.43 eV/atom. Its calculated formation energy is -0.060 eV per atom. The energy above the lowest structure with this stoichiometry comes out at 14 meV/atom.

Cell lengths 2.9953, 2.9953, 6.2050 Å; angles 90.00, 90.00, 90.00 degrees
Sites, in units of the cell vectors:
Mn1 0.0000 0.0000 0.0000
Nb1 0.0000 0.0000 0.5000
V1 0.5000 0.5000 0.2271
V2 0.5000 0.5000 0.7729